(1)
Material: K2AsRuO6
Method: DFT, PBE
State: relaxed

* space group: I4/m (87)
* E_tot: -0.208 hartree per atom
* total magnetization: 2.52 μB/f.u.

CIF file:
```
data_K2AsRuO6
_symmetry_space_group_name_H-M 'P 1'
_symmetry_Int_Tables_number 1
_symmetry_space_group_name_Hall 'P 1'
_cell_length_a 5.514
_cell_length_b 5.514
_cell_length_c 5.514
_cell_angle_alpha 119.97
_cell_angle_beta 119.97
_cell_angle_gamma 90.05
loop_
_atom_site_label
_atom_site_type_symbol
_atom_site_fract_x
_atom_site_fract_y
_atom_site_fract_z
_atom_site_occupancy
K1 K 0.250 0.750 0.500 1
K2 K 0.750 0.250 0.500 1
As1 As 0.000 0.000 0.000 1
Ru1 Ru 0.500 0.500 0.000 1
O1 O 0.243 0.243 0.000 1
O2 O 0.244 0.245 0.488 1
O3 O 0.245 0.756 0.001 1
O4 O 0.755 0.244 0.999 1
O5 O 0.756 0.755 0.512 1
O6 O 0.757 0.757 0.000 1
```



(2)
Material: AgBi2Pt
Method: DFT, PBE
State: relaxed

* space group: I-42d (122)
* E_tot: -0.149 hartree per atom
* energy relative to the elements: 0.10 eV/atom
* total magnetization: 0.00 μB/f.u.

CIF file:
```
data_AgBi2Pt
_symmetry_space_group_name_H-M 'P 1'
_symmetry_Int_Tables_number 1
_symmetry_space_group_name_Hall 'P 1'
_cell_length_a 6.517
_cell_length_b 6.517
_cell_length_c 6.517
_cell_angle_alpha 102.98
_cell_angle_beta 102.98
_cell_angle_gamma 123.42
loop_
_atom_site_label
_atom_site_type_symbol
_atom_site_fract_x
_atom_site_fract_y
_atom_site_fract_z
_atom_site_occupancy
Ag1 Ag 0.000 0.000 0.000 1
Ag2 Ag 0.750 0.250 0.500 1
Bi1 Bi 0.164 0.125 0.539 1
Bi2 Bi 0.375 0.836 0.961 1
Bi3 Bi 0.586 0.625 0.461 1
Bi4 Bi 0.875 0.414 0.039 1
Pt1 Pt 0.250 0.750 0.500 1
Pt2 Pt 0.500 0.500 0.000 1
```



(3)
Material: Ba2Tl5Pb4
Method: DFT, PBE
State: relaxed

* space group: C2/m (12)
* E_tot: -0.109 hartree per atom
* energy relative to the elements: -0.18 eV/atom
* total magnetization: 0.00 μB/f.u.

CIF file:
```
data_Ba2Tl5Pb4
_symmetry_space_group_name_H-M 'P 1'
_symmetry_Int_Tables_number 1
_symmetry_space_group_name_Hall 'P 1'
_cell_length_a 7.323
_cell_length_b 7.323
_cell_length_c 10.314
_cell_angle_alpha 119.41
_cell_angle_beta 119.41
_cell_angle_gamma 57.79
loop_
_atom_site_label
_atom_site_type_symbol
_atom_site_fract_x
_atom_site_fract_y
_atom_site_fract_z
_atom_site_occupancy
Ba1 Ba 0.217 0.217 0.276 1
Ba2 Ba 0.783 0.783 0.724 1
Tl1 Tl 0.266 0.725 0.665 1
Tl2 Tl 0.275 0.734 0.335 1
Tl3 Tl 0.500 0.500 0.000 1
Tl4 Tl 0.725 0.266 0.665 1
Tl5 Tl 0.734 0.275 0.335 1
Pb1 Pb 0.215 0.215 0.935 1
Pb2 Pb 0.228 0.228 0.638 1
Pb3 Pb 0.772 0.772 0.362 1
Pb4 Pb 0.785 0.785 0.065 1
```



(4)
Material: Cs4IrS5
Method: DFT, PBE
State: relaxed

* space group: I4 (79)
* E_tot: -0.144 hartree per atom
* total magnetization: 1.74 μB/f.u.

CIF file:
```
data_Cs4IrS5
_symmetry_space_group_name_H-M 'P 1'
_symmetry_Int_Tables_number 1
_symmetry_space_group_name_Hall 'P 1'
_cell_length_a 8.222
_cell_length_b 8.222
_cell_length_c 8.222
_cell_angle_alpha 99.88
_cell_angle_beta 99.88
_cell_angle_gamma 131.07
loop_
_atom_site_label
_atom_site_type_symbol
_atom_site_fract_x
_atom_site_fract_y
_atom_site_fract_z
_atom_site_occupancy
Cs1 Cs 0.105 0.705 0.810 1
Cs2 Cs 0.295 0.105 0.400 1
Cs3 Cs 0.705 0.895 0.600 1
Cs4 Cs 0.895 0.295 0.190 1
Ir1 Ir 0.418 0.418 0.000 1
S1 S 0.095 0.095 0.000 1
S2 S 0.297 0.437 0.730 1
S3 S 0.437 0.707 0.140 1
S4 S 0.567 0.297 0.860 1
S5 S 0.707 0.567 0.270 1
```



(5)
Material: Li2ErZrS4
Method: DFT, PBE
State: relaxed

* space group: P2/m (10)
* E_tot: -0.215 hartree per atom
* total magnetization: 0.00 μB/f.u.

CIF file:
```
data_Li2ErZrS4
_symmetry_space_group_name_H-M 'P 1'
_symmetry_Int_Tables_number 1
_symmetry_space_group_name_Hall 'P 1'
_cell_length_a 6.517
_cell_length_b 3.729
_cell_length_c 6.561
_cell_angle_alpha 90.00
_cell_angle_beta 109.17
_cell_angle_gamma 90.00
loop_
_atom_site_label
_atom_site_type_symbol
_atom_site_fract_x
_atom_site_fract_y
_atom_site_fract_z
_atom_site_occupancy
Li1 Li 0.000 0.000 0.000 1
Li2 Li 0.500 0.500 0.000 1
Er1 Er 0.000 0.500 0.500 1
Zr1 Zr 0.500 0.000 0.500 1
S1 S 0.257 0.500 0.250 1
S2 S 0.260 0.000 0.752 1
S3 S 0.740 0.000 0.248 1
S4 S 0.743 0.500 0.750 1
```



(6)
Material: LaSmZr
Method: DFT, PBE
State: relaxed

* space group: P6/mmm (191)
* E_tot: -0.217 hartree per atom
* energy relative to the elements: 0.16 eV/atom
* total magnetization: 0.00 μB/f.u.
* excess energy over the best structure of this formula in the dataset: 79 meV per atom

CIF file:
```
data_LaSmZr
_symmetry_space_group_name_H-M 'P 1'
_symmetry_Int_Tables_number 1
_symmetry_space_group_name_Hall 'P 1'
_cell_length_a 5.520
_cell_length_b 5.520
_cell_length_c 6.793
_cell_angle_alpha 90.00
_cell_angle_beta 90.00
_cell_angle_gamma 120.00
loop_
_atom_site_label
_atom_site_type_symbol
_atom_site_fract_x
_atom_site_fract_y
_atom_site_fract_z
_atom_site_occupancy
La1 La 0.333 0.667 0.000 1
La2 La 0.667 0.333 0.000 1
Sm1 Sm 0.000 0.000 0.268 1
Sm2 Sm 0.000 0.000 0.732 1
Zr1 Zr 0.333 0.667 0.500 1
Zr2 Zr 0.667 0.333 0.500 1
```



What did the sixth record say?
Material: LaSmZr
Method: DFT, PBE
State: relaxed

* space group: P6/mmm (191)
* E_tot: -0.217 hartree per atom
* energy relative to the elements: 0.16 eV/atom
* total magnetization: 0.00 μB/f.u.
* excess energy over the best structure of this formula in the dataset: 79 meV per atom

CIF file:
```
data_LaSmZr
_symmetry_space_group_name_H-M 'P 1'
_symmetry_Int_Tables_number 1
_symmetry_space_group_name_Hall 'P 1'
_cell_length_a 5.520
_cell_length_b 5.520
_cell_length_c 6.793
_cell_angle_alpha 90.00
_cell_angle_beta 90.00
_cell_angle_gamma 120.00
loop_
_atom_site_label
_atom_site_type_symbol
_atom_site_fract_x
_atom_site_fract_y
_atom_site_fract_z
_atom_site_occupancy
La1 La 0.333 0.667 0.000 1
La2 La 0.667 0.333 0.000 1
Sm1 Sm 0.000 0.000 0.268 1
Sm2 Sm 0.000 0.000 0.732 1
Zr1 Zr 0.333 0.667 0.500 1
Zr2 Zr 0.667 0.333 0.500 1
```



- Which value of E_tot does entry 3 give?
  -0.109 hartree per atom